Here is crystalline HfCuN2F at its relaxed geometry from the Alexandria database. Energies are from PBE.

Its formation energy (no corrections) is -0.34 eV per atom. The calculation puts the offset from the most stable computed form at 0.000 eV per atom. The calculation puts the total energy at -6.856 eV/atom.

It has space group P4/mmm (No. 123), with a = 4.184 Å, b = 4.184 Å, c = 4.056 Å, α = 90.00°, β = 90.00° and γ = 90.00°. The inequivalent atoms are Hf at (0.000, 0.000, 0.000), Cu at (0.500, 0.500, 0.500), N at (0.000, 0.500, 0.000) and F at (0.000, 0.000, 0.500).